Density functional theory data (PBE) for an optimized crystal structure of CsN4Cl2.

Output
Magnetic moment, μB per atom: 0.00
E_form (uncorrected), eV/f.u.: 15.92
Calculated volume, Å³ per cell: 296.56
Crystal system: tetragonal

Unit cell a=4.8816 b=4.8816 c=12.4445 alpha=90.00 beta=90.00 gamma=90.00
With the nearest neighbours (Å) after each atom.
Space group I4/mmm (No. 139)
Asymmetric unit:
Cs1 0.0000 0.0000 0.0000 (multiplicity 2)  4 N 2.44
N1 0.0000 0.0000 0.2658 (multiplicity 4)  1 Cl 1.51
N2 0.0000 0.5000 0.0000 (multiplicity 4)  2 Cs 2.44
Cl1 0.0000 0.0000 0.3870 (multiplicity 4)  1 N 1.51